Crystalline La4Pm2Th3 at its relaxed geometry, computed with PBE.

Properties
The density of states at the Fermi level is 2.026 states/eV per atom. The value obtained for the formation energy is 0.078 eV/atom. The value obtained for the spin magnetization is 0.0 μB per cell. The energy above the lowest structure with this stoichiometry is 0.0 kJ per mole of atoms. As for the space-group type: P3m1, No. 156.

a b c (Å): 3.6150 3.6150 27.6336
angles (deg): 90.00 90.00 120.00
Closest atoms and distances in Å follow each position.
Sites, in units of the cell vectors:
1 La 0.0000 0.0000 0.7628  6 La 3.61, 3 Th 3.65, 3 Pm 3.79
2 La 0.6667 0.3333 0.4281  9 La 3.61-3.90, 3 Th 3.62
3 La 0.0000 0.0000 0.5473  9 La 3.61-3.90, 3 Th 3.63
4 La 0.6667 0.3333 0.2137  1 Pm 3.47, 6 La 3.61, 3 Th 3.62
5 Th 0.6667 0.3333 0.6547  6 Th 3.61, 6 La 3.63-3.65
6 Th 0.0000 0.0000 0.3209  6 Th 3.61, 6 La 3.62
7 Th 0.0000 0.0000 0.9842  6 Pm 3.56-3.62, 6 Th 3.61
8 Pm 0.6667 0.3333 0.8772  6 Pm 3.61, 3 Th 3.62, 3 La 3.79
9 Pm 0.6667 0.3333 0.0883  1 La 3.47, 3 Th 3.56, 6 Pm 3.61

=====

Crystalline LaPmTh2 at its relaxed geometry, computed with PBE.

Properties
The density of states at the Fermi level is 1.694 states/eV per atom. The value obtained for the formation energy is 0.026 eV/atom. The value obtained for the spin magnetization is 0.0 μB per cell. The energy above the lowest structure with this stoichiometry is 0.0 kJ per mole of atoms. As for the space-group type: P2_1/m, No. 11.

a b c (Å): 5.0828 5.1163 11.5542
angles (deg): 90.00 116.04 90.00
Closest atoms and distances in Å follow each position.
Sites, in units of the cell vectors:
1 La 0.6384 0.7500 0.6380  4 Th 3.60-3.61, 6 Pm 3.61-3.84, 2 La 3.84
2 La 0.3616 0.2500 0.3620  4 Th 3.60-3.61, 6 Pm 3.61-3.84, 2 La 3.84
3 Th 0.3845 0.7500 0.8846  8 Th 3.50-3.61, 2 La 3.61, 2 Pm 3.61
4 Th 0.8820 0.2500 0.8821  8 Th 3.51-3.61, 2 Pm 3.58, 2 La 3.60
5 Th 0.1180 0.7500 0.1179  8 Th 3.51-3.61, 2 Pm 3.58, 2 La 3.60
6 Th 0.6155 0.2500 0.1154  8 Th 3.50-3.61, 2 La 3.61, 2 Pm 3.61
7 Pm 0.8604 0.7500 0.3606  4 Th 3.58-3.61, 6 La 3.61-3.84, 2 Pm 3.86
8 Pm 0.1396 0.2500 0.6394  4 Th 3.58-3.61, 6 La 3.61-3.84, 2 Pm 3.86

=====

Crystalline La12Pm6Th at its relaxed geometry, computed with PBE.

Properties
The density of states at the Fermi level is 2.002 states/eV per atom. The value obtained for the formation energy is 0.024 eV/atom. The value obtained for the spin magnetization is 0.0 μB per cell. As for the space-group type: R-3, No. 148.

a b c (Å): 9.7983 9.7983 9.7983
angles (deg): 110.95 110.95 110.95
Closest atoms and distances in Å follow each position.
Sites, in units of the cell vectors:
1 La 0.3724 0.0572 0.5818  4 Pm 3.69-3.76, 8 La 3.70-3.75
2 La 0.5818 0.3724 0.0572  4 Pm 3.69-3.76, 8 La 3.70-3.75
3 La 0.1547 0.7412 0.1023  1 Th 3.64, 8 La 3.64-3.76, 3 Pm 3.64-3.82
4 La 0.6276 0.9428 0.4182  4 Pm 3.69-3.76, 8 La 3.70-3.75
5 La 0.2588 0.8977 0.8453  1 Th 3.64, 8 La 3.64-3.76, 3 Pm 3.64-3.82
6 La 0.9428 0.4182 0.6276  4 Pm 3.69-3.76, 8 La 3.70-3.75
7 La 0.8977 0.8453 0.2588  1 Th 3.64, 8 La 3.64-3.76, 3 Pm 3.64-3.82
8 La 0.8453 0.2588 0.8977  1 Th 3.64, 8 La 3.64-3.76, 3 Pm 3.64-3.82
9 La 0.0572 0.5818 0.3724  4 Pm 3.69-3.76, 8 La 3.70-3.75
10 La 0.7412 0.1023 0.1547  1 Th 3.64, 8 La 3.64-3.76, 3 Pm 3.64-3.82
11 La 0.1023 0.1547 0.7412  1 Th 3.64, 8 La 3.64-3.76, 3 Pm 3.64-3.82
12 La 0.4182 0.6276 0.9428  4 Pm 3.69-3.76, 8 La 3.70-3.75
13 Pm 0.2088 0.3117 0.4654  4 Pm 3.61-3.74, 1 Th 3.63, 7 La 3.64-3.82
14 Pm 0.5346 0.7912 0.6883  4 Pm 3.61-3.74, 1 Th 3.63, 7 La 3.64-3.82
15 Pm 0.4654 0.2088 0.3117  4 Pm 3.61-3.74, 1 Th 3.63, 7 La 3.64-3.82
16 Pm 0.3117 0.4654 0.2088  4 Pm 3.61-3.74, 1 Th 3.63, 7 La 3.64-3.82
17 Pm 0.6883 0.5346 0.7912  4 Pm 3.61-3.74, 1 Th 3.63, 7 La 3.64-3.82
18 Pm 0.7912 0.6883 0.5346  4 Pm 3.61-3.74, 1 Th 3.63, 7 La 3.64-3.82
19 Th 0.0000 0.0000 0.0000  6 Pm 3.63, 6 La 3.64

=====

Crystalline LaPm2Th at its relaxed geometry, computed with PBE.

Properties
The density of states at the Fermi level is 1.551 states/eV per atom. The value obtained for the formation energy is 0.025 eV/atom. The value obtained for the spin magnetization is 0.0 μB per cell. The energy above the lowest structure with this stoichiometry is 0.0 kJ per mole of atoms. As for the space-group type: R3m, No. 160.

a b c (Å): 3.6505 3.6505 12.1172
angles (deg): 81.34 81.34 60.00
Closest atoms and distances in Å follow each position.
Sites, in units of the cell vectors:
1 Th 0.6667 0.6667 0.9999  6 Pm 3.54-3.55, 6 Th 3.65
2 Pm 0.0794 0.0794 0.7618  3 Th 3.54, 6 Pm 3.65, 3 La 3.78
3 Pm 0.2537 0.2537 0.2390  3 Th 3.55, 6 Pm 3.65, 3 La 3.75
4 La 0.5003 0.5003 0.4992  6 La 3.65, 6 Pm 3.75-3.78

=====

Crystalline La3Pm2Th at its relaxed geometry, computed with PBE.

Properties
The density of states at the Fermi level is 1.728 states/eV per atom. The value obtained for the formation energy is 0.026 eV/atom. The value obtained for the spin magnetization is 0.0 μB per cell. The energy above the lowest structure with this stoichiometry is 0.0 kJ per mole of atoms. As for the space-group type: P4/mmm, No. 123.

a b c (Å): 3.6581 3.6581 15.7408
angles (deg): 90.00 90.00 90.00
Closest atoms and distances in Å follow each position.
Sites, in units of the cell vectors:
1 La 0.0000 0.0000 0.3439  4 Th 3.57, 4 La 3.66, 4 Pm 3.82
2 La 0.0000 0.0000 0.6561  4 Th 3.57, 4 La 3.66, 4 Pm 3.82
3 La 0.0000 0.0000 0.0000  4 La 3.66, 8 Pm 3.66
4 Pm 0.5000 0.5000 0.8351  4 Pm 3.66, 8 La 3.66-3.82
5 Pm 0.5000 0.5000 0.1649  4 Pm 3.66, 8 La 3.66-3.82
6 Th 0.5000 0.5000 0.5000  8 La 3.57, 4 Th 3.66

=====

Crystalline LaPmTh14 at its relaxed geometry, computed with PBE.

Properties
The density of states at the Fermi level is 1.256 states/eV per atom. The value obtained for the formation energy is 0.040 eV/atom. The value obtained for the spin magnetization is 0.0 μB per cell. As for the space-group type: Amm2, No. 38.

a b c (Å): 7.1962 7.1962 11.6477
angles (deg): 90.00 90.00 120.08
Closest atoms and distances in Å follow each position.
Sites, in units of the cell vectors:
1 Th 0.8758 0.6250 0.2476  10 Th 3.55-3.61, 1 Pm 3.60, 1 La 3.61
2 Th 0.2084 0.7916 0.0000  12 Th 3.55-3.60
3 Th 0.5411 0.9554 0.5000  2 La 3.57-3.63, 8 Th 3.57-3.62, 2 Pm 3.58-3.61
4 Th 0.7085 0.2915 0.0000  12 Th 3.55-3.60
5 Th 0.3743 0.6257 0.7518  11 Th 3.56-3.61, 1 La 3.59
6 Th 0.3743 0.6257 0.2482  11 Th 3.56-3.61, 1 La 3.59
7 Th 0.0446 0.4589 0.5000  2 La 3.57-3.63, 8 Th 3.57-3.62, 2 Pm 3.58-3.61
8 Th 0.3750 0.1242 0.7524  10 Th 3.55-3.61, 1 Pm 3.60, 1 La 3.61
9 Th 0.8744 0.1256 0.2490  11 Th 3.56-3.61, 1 Pm 3.59
10 Th 0.3750 0.1242 0.2476  10 Th 3.55-3.61, 1 Pm 3.60, 1 La 3.61
11 Th 0.8758 0.6250 0.7524  10 Th 3.55-3.61, 1 Pm 3.60, 1 La 3.61
12 Th 0.2085 0.2916 0.0000  12 Th 3.56-3.60
13 Th 0.8744 0.1256 0.7510  11 Th 3.56-3.61, 1 Pm 3.59
14 Th 0.7084 0.7915 0.0000  12 Th 3.56-3.60
15 Pm 0.0410 0.9590 0.5000  10 Th 3.58-3.61, 2 La 3.59
16 La 0.5406 0.4594 0.5000  10 Th 3.57-3.63, 2 Pm 3.59

=====

Crystalline La8PmTh4 at its relaxed geometry, computed with PBE.

Properties
The density of states at the Fermi level is 1.855 states/eV per atom. The value obtained for the formation energy is 0.504 eV/atom. The value obtained for the spin magnetization is 0.0 μB per cell. As for the space-group type: R-3m, No. 166.

a b c (Å): 7.9992 7.9992 7.9992
angles (deg): 90.18 90.18 90.18
Closest atoms and distances in Å follow each position.
Sites, in units of the cell vectors:
1 La 0.2370 0.7608 0.2370  4 Th 3.30-3.53, 1 Pm 3.64
2 La 0.7608 0.2370 0.2370  4 Th 3.30-3.53, 1 Pm 3.64
3 La 0.7630 0.2392 0.7630  4 Th 3.30-3.53, 1 Pm 3.64
4 La 0.2392 0.7630 0.7630  4 Th 3.30-3.53, 1 Pm 3.64
5 La 0.2373 0.2373 0.2373  4 Th 3.28-3.53, 1 Pm 3.63
6 La 0.7630 0.7630 0.2392  4 Th 3.30-3.53, 1 Pm 3.64
7 La 0.2370 0.2370 0.7608  4 Th 3.30-3.53, 1 Pm 3.64
8 La 0.7627 0.7627 0.7627  4 Th 3.28-3.53, 1 Pm 3.63
9 Th 0.0000 0.0000 0.0000  8 La 3.28-3.30
10 Th 0.0000 0.5000 0.5000  8 La 3.52-3.53
11 Th 0.5000 0.0000 0.5000  8 La 3.52-3.53
12 Th 0.5000 0.5000 0.0000  8 La 3.52-3.53
13 Pm 0.5000 0.5000 0.5000  8 La 3.63-3.64, 6 Th 4.00

=====

Crystalline La4PmTh at its relaxed geometry, computed with PBE.

Properties
The density of states at the Fermi level is 2.158 states/eV per atom. The value obtained for the formation energy is 0.186 eV/atom. The value obtained for the spin magnetization is 0.0 μB per cell. The energy above the lowest structure with this stoichiometry is 1.5 kJ per mole of atoms. As for the space-group type: Cmcm, No. 63.

a b c (Å): 6.6396 6.6396 11.0129
angles (deg): 90.00 90.00 118.60
Closest atoms and distances in Å follow each position.
Sites, in units of the cell vectors:
1 La 0.3538 0.1646 0.2500  2 Pm 3.20-3.44, 2 La 3.27-3.51, 2 Th 3.44
2 La 0.6462 0.8354 0.7500  2 Pm 3.20-3.44, 2 La 3.27-3.51, 2 Th 3.44
3 La 0.8354 0.6462 0.2500  2 Pm 3.20-3.44, 2 La 3.27-3.51, 2 Th 3.44
4 La 0.1646 0.3538 0.7500  2 Pm 3.20-3.44, 2 La 3.27-3.51, 2 Th 3.44
5 La 0.3341 0.6659 0.0634  10 La 3.85-4.14, 3 Th 3.88-3.95, 3 Pm 3.96
6 La 0.6659 0.3341 0.9366  10 La 3.85-4.14, 3 Th 3.88-3.95, 3 Pm 3.96
7 La 0.6659 0.3341 0.5634  10 La 3.85-4.14, 3 Th 3.88-3.95, 3 Pm 3.96
8 La 0.3341 0.6659 0.4366  10 La 3.85-4.14, 3 Th 3.88-3.95, 3 Pm 3.96
9 Pm 0.1647 0.8353 0.7500  4 La 3.20-3.44, 2 Th 3.33
10 Pm 0.8353 0.1647 0.2500  4 La 3.20-3.44, 2 Th 3.33
11 Th 0.0000 0.0000 0.5000  2 Pm 3.33, 4 La 3.44
12 Th 0.0000 0.0000 0.0000  2 Pm 3.33, 4 La 3.44